Below is Mo3IrO after structural relaxation, with properties calculated at the PBE+U level.

```
Mo3IrO
1.0
4.1283 0.0000 0.0000
0.0000 4.1283 0.0000
0.0000 0.0000 4.1283
Mo Ir O
3 1 1
direct
0.0000 0.0000 0.5000 Mo
0.0000 0.5000 0.0000 Mo
0.5000 0.0000 0.0000 Mo
0.5000 0.5000 0.5000 Ir
0.0000 0.0000 0.0000 O
```

Properties
Calculated volume: 70.4 Å³/f.u.
Relative energy among the computed polymorphs: 0.0 meV/atom
VASP energy: -6.49 eV/atom